The following is a PBE-GGA calculation of CaGa4Ag after structural relaxation, from Alexandria.

a = 9.9604 Å, b = 6.2608 Å, c = 8.2106 Å
α = 90.00°, β = 106.19°, γ = 90.00°
Last column: nearest neighbours and their distance in Å.
Space group C2/m (No. 12)
Inequivalent atoms, fractional coordinates:
Ca 0.2046 0.0000 0.3125 [4 per cell]  9 Ga 3.15-3.39, 2 Ag 3.40
Ga 0.0000 0.2856 0.5000 [4 per cell]  3 Ga 2.58-2.68, 2 Ag 2.70
Ga 0.1136 0.2243 0.9399 [8 per cell]  4 Ga 2.64-2.81, 1 Ag 2.66
Ga 0.1623 0.0000 0.6783 [4 per cell]  4 Ga 2.58-2.72, 1 Ag 2.59
Ag 0.0679 0.5000 0.2486 [4 per cell]  5 Ga 2.59-2.70

The following is a PBE-GGA calculation of NpCdGa after structural relaxation, from Alexandria.

a = 4.9997 Å, b = 4.9997 Å, c = 2.9457 Å
α = 90.00°, β = 90.00°, γ = 120.00°
Last column: nearest neighbours and their distance in Å.
Space group P-6m2 (No. 187)
Inequivalent atoms, fractional coordinates:
Np 0.0000 0.0000 0.0000 [1 per cell]  2 Np 2.95, 6 Cd 3.24, 6 Ga 3.24
Cd 0.3333 0.6667 0.5000 [1 per cell]  3 Ga 2.89, 2 Cd 2.95
Ga 0.6667 0.3333 0.5000 [1 per cell]  3 Cd 2.89, 2 Ga 2.95

Calculated values (eV/f.u.) of DFT formation energy for the records, taken in order: -1.52, 0.07.